Entry 1:
VASP calculation (SCAN) on a PBEsol-optimized structure of Tc2AgW.

Output
Magnetization = 0.000 μB/atom
Formation energy from the elements = 0.375 eV per atom
Uncorrected energy = -169.7 eV/cell
Symmetry = Pmm2

abc: 2.758 3.928 5.540
angles: 90.00 90.00 90.00
Atoms (fractional coordinates):
Tc 0.000 0.000 0.000
Tc 0.500 0.500 0.214
Ag 0.500 0.500 0.724
W 0.000 0.000 0.452


Entry 2:
VASP calculation (SCAN) on a PBEsol-optimized structure of LaMo3Ir.

Output
Magnetization = 0.498 μB/atom
Formation energy from the elements = 0.937 eV per atom
Uncorrected energy = -214.2 eV/cell
Symmetry = Pm-3m

abc: 4.797 4.797 4.797
angles: 90.00 90.00 90.00
Atoms (fractional coordinates):
La 0.000 0.000 0.000
Mo 0.000 0.500 0.500
Mo 0.500 0.000 0.500
Mo 0.500 0.500 0.000
Ir 0.500 0.500 0.500


Entry 3:
VASP calculation (SCAN) on a PBEsol-optimized structure of SrCa2P.

Output
Magnetization = 0.074 μB/atom
Formation energy from the elements = -0.628 eV per atom
Uncorrected energy = -54.5 eV/cell
Symmetry = Imm2

abc: 8.074 8.074 8.074
angles: 153.45 146.47 43.27
Atoms (fractional coordinates):
Sr 0.000 0.000 0.000
Ca 0.320 0.320 0.000
Ca 0.666 0.166 0.500
P 0.168 0.668 0.500


Entry 4:
VASP calculation (SCAN) on a PBEsol-optimized structure of Fe.

Output
Magnetization = 2.325 μB/atom
Formation energy from the elements = 0.000 eV per atom
Uncorrected energy = -18.1 eV/cell
Symmetry = Im-3m

abc: 2.407 2.407 2.407
angles: 109.47 109.47 109.47
Atoms (fractional coordinates):
Fe 0.000 0.000 0.000


Entry 5:
VASP calculation (SCAN) on a PBEsol-optimized structure of Cs2ZrCu3F12.

Output
Magnetization = 0.166 μB/atom
Uncorrected energy = -243.6 eV/cell
Symmetry = R-3m

abc: 7.938 7.938 7.938
angles: 53.17 53.17 53.17
Atoms (fractional coordinates):
Cs 0.104 0.104 0.104
Cs 0.896 0.896 0.896
Zr 0.500 0.500 0.500
Cu 0.000 0.500 0.500
Cu 0.500 0.000 0.500
Cu 0.500 0.500 0.000
F 0.173 0.582 0.582
F 0.187 0.187 0.582
F 0.187 0.582 0.187
F 0.418 0.418 0.827
F 0.418 0.813 0.813
F 0.418 0.827 0.418
F 0.582 0.173 0.582
F 0.582 0.187 0.187
F 0.582 0.582 0.173
F 0.813 0.418 0.813
F 0.813 0.813 0.418
F 0.827 0.418 0.418


Entry 6:
VASP calculation (SCAN) on a PBEsol-optimized structure of NiRuPt2.

Output
Magnetization = 0.447 μB/atom
Formation energy from the elements = -0.073 eV per atom
Uncorrected energy = -191.7 eV/cell
Symmetry = Cmmm

abc: 4.645 4.645 2.674
angles: 90.00 90.00 109.81
Atoms (fractional coordinates):
Ni 0.000 0.000 0.000
Ru 0.500 0.500 0.000
Pt 0.000 0.500 0.500
Pt 0.500 0.000 0.500


Entry 7:
VASP calculation (SCAN) on a PBEsol-optimized structure of CuReS2.

Output
Magnetization = 0.000 μB/atom
Uncorrected energy = -104.0 eV/cell
Symmetry = R-3m

abc: 7.722 7.722 7.722
angles: 22.57 22.57 22.57
Atoms (fractional coordinates):
Cu 0.000 0.000 0.000
Re 0.500 0.500 0.500
S 0.401 0.401 0.401
S 0.599 0.599 0.599


Entry 8:
VASP calculation (SCAN) on a PBEsol-optimized structure of TaCd2Fe.

Output
Magnetization = 0.542 μB/atom
Formation energy from the elements = 0.184 eV per atom
Uncorrected energy = -144.8 eV/cell
Symmetry = Cmm2

abc: 2.816 2.816 8.922
angles: 90.00 90.00 106.05
Atoms (fractional coordinates):
Ta 0.000 0.000 0.000
Cd 0.000 0.000 0.443
Cd 0.500 0.500 0.728
Fe 0.500 0.500 0.206